Entry 1:
## HoMg2ScPd4 (PBE)

Data for a relaxed structure of HoMg2ScPd4.

Unit cell a=4.6625 b=4.6625 c=8.1698 alpha=73.42 beta=73.42 gamma=60.00
Closest atoms and distances in Å follow each position.
Element x y z (fractional)
Ho  0.0000  0.0000  0.0000  8 Pd 2.90-2.94
Mg  0.7523  0.7523  0.7430  8 Pd 2.80-3.06
Mg  0.2477  0.2477  0.2570  8 Pd 2.80-3.06
Sc  0.5000  0.5000  0.5000  8 Pd 2.78-2.85
Pd  0.3799  0.3799  0.8602  1 Sc 2.78, 4 Mg 2.84-3.06, 3 Ho 2.90
Pd  0.8731  0.8731  0.3806  4 Mg 2.80-2.86, 3 Sc 2.85, 1 Ho 2.94
Pd  0.1269  0.1269  0.6194  4 Mg 2.80-2.86, 3 Sc 2.85, 1 Ho 2.94
Pd  0.6201  0.6201  0.1398  1 Sc 2.78, 4 Mg 2.84-3.06, 3 Ho 2.90

- total magnetic moment (μB per atom) = 0.000
- energy relative to the elements (eV/atom) = -0.823

=====

Entry 2:
## SmDy2YN4 (PBE)

Data for a relaxed structure of SmDy2YN4.

Unit cell a=3.5048 b=6.0685 c=6.0690 alpha=109.44 beta=90.00 gamma=90.00
Closest atoms and distances in Å follow each position.
Element x y z (fractional)
Sm  0.5000  0.5000  0.0000  6 N 2.50
Dy  0.5000  0.0000  0.5000  6 N 2.45
Dy  0.0000  0.5000  0.5000  6 N 2.47-2.48
Y  0.0000  0.0000  0.0000  6 N 2.48
N  0.5000  0.2483  0.2529  3 Dy 2.45-2.48, 2 Y 2.48, 1 Sm 2.50
N  0.5000  0.7517  0.7471  3 Dy 2.45-2.48, 2 Y 2.48, 1 Sm 2.50
N  0.0000  0.2456  0.7449  3 Dy 2.45-2.47, 1 Y 2.48, 2 Sm 2.50
N  0.0000  0.7544  0.2551  3 Dy 2.45-2.47, 1 Y 2.48, 2 Sm 2.50

- ΔE_f (raw) (eV/atom) = -1.639
- total magnetic moment (μB per atom) = 0.000

=====

Entry 3:
## Zn2CuSi (PBE)

Data for a relaxed structure of Zn2CuSi.

Unit cell a=4.7240 b=4.7240 c=4.7240 alpha=132.47 beta=132.47 gamma=69.49
Closest atoms and distances in Å follow each position.
Element x y z (fractional)
Cu  0.2500  0.7500  0.5000  4 Si 2.69, 8 Zn 2.72
Si  0.7500  0.2500  0.5000  4 Cu 2.69, 8 Zn 2.72
Zn  0.0000  0.0000  0.0000  4 Zn 2.69, 4 Cu 2.72, 4 Si 2.72
Zn  0.5000  0.5000  0.0000  4 Zn 2.69, 4 Si 2.72, 4 Cu 2.72

- ΔE_f (raw) (eV/atom) = 0.123
- total magnetic moment (μB per atom) = 0.000

=====

Entry 4:
## PrNdZnHg (PBE)

Data for a relaxed structure of PrNdZnHg.

Unit cell a=5.3550 b=5.3550 c=5.3550 alpha=60.00 beta=60.00 gamma=60.00
Closest atoms and distances in Å follow each position.
Element x y z (fractional)
Pr  0.7500  0.7500  0.7500  4 Hg 3.28, 4 Zn 3.28
Zn  0.5000  0.5000  0.5000  4 Pr 3.28, 4 Nd 3.28
Nd  0.2500  0.2500  0.2500  4 Hg 3.28, 4 Zn 3.28
Hg  0.0000  0.0000  0.0000  4 Nd 3.28, 4 Pr 3.28

- total magnetic moment (μB per atom) = 0.211
- energy relative to the elements (eV/atom) = -0.369
- excess energy over the best structure of this formula in the dataset (meV/atom) = 24.7

=====

Number 1: calculated total energy -5.18 eV/atom. Number 2: calculated total energy -8.35 eV/atom. Number 3: calculated total energy -2.89 eV/atom. Number 4: calculated total energy -3.15 eV/atom.